# 1
First-principles (GGA-PBEsol) data for CoP2Pd after structural relaxation, as listed in Alexandria.

Structure (POSCAR):
```
CoP2Pd
1.0
5.364 0.000 0.000
0.000 5.364 0.000
0.000 0.000 9.098
Co P Pd
4 8 4
Direct
0.000 0.000 0.000 Co
0.000 0.500 0.250 Co
0.500 0.000 0.750 Co
0.500 0.500 0.500 Co
0.218 0.250 0.125 P
0.250 0.718 0.375 P
0.250 0.782 0.875 P
0.282 0.250 0.625 P
0.718 0.750 0.625 P
0.750 0.218 0.875 P
0.750 0.282 0.375 P
0.782 0.750 0.125 P
0.000 0.000 0.500 Pd
0.000 0.500 0.750 Pd
0.500 0.000 0.250 Pd
0.500 0.500 0.000 Pd
```

Calculated formation energy (meV per atom): -166
SG: No. 122


# 2
First-principles (GGA-PBEsol) data for BaNb3Hg after structural relaxation, as listed in Alexandria.

Structure (POSCAR):
```
BaNb3Hg
1.0
4.995 0.000 0.000
0.000 4.995 0.000
0.000 0.000 4.995
Ba Nb Hg
1 3 1
Direct
0.000 0.000 0.000 Ba
0.000 0.000 0.500 Nb
0.000 0.500 0.000 Nb
0.500 0.000 0.000 Nb
0.500 0.500 0.500 Hg
```

Calculated formation energy (meV per atom): 2396
SG: No. 221


# 3
First-principles (GGA-PBEsol) data for Er6Al3Si after structural relaxation, as listed in Alexandria.

Structure (POSCAR):
```
Er6Al3Si
1.0
-5.651 5.651 7.472
5.651 -5.651 7.472
5.651 5.651 -7.472
Er Al Si
24 12 4
Direct
0.063 0.929 0.260 Er
0.071 0.330 0.133 Er
0.149 0.649 0.500 Er
0.170 0.330 0.500 Er
0.170 0.429 0.867 Er
0.197 0.937 0.867 Er
0.303 0.170 0.740 Er
0.330 0.197 0.260 Er
0.330 0.830 0.160 Er
0.351 0.851 0.500 Er
0.429 0.563 0.260 Er
0.437 0.697 0.867 Er
0.563 0.303 0.133 Er
0.571 0.437 0.740 Er
0.649 0.149 0.500 Er
0.670 0.170 0.840 Er
0.670 0.803 0.740 Er
0.697 0.830 0.260 Er
0.803 0.063 0.133 Er
0.830 0.571 0.133 Er
0.830 0.670 0.500 Er
0.851 0.351 0.500 Er
0.929 0.670 0.867 Er
0.937 0.071 0.740 Er
0.027 0.882 0.500 Al
0.118 0.618 0.145 Al
0.120 0.620 0.739 Al
0.380 0.120 0.500 Al
0.382 0.527 0.500 Al
0.473 0.973 0.855 Al
0.527 0.027 0.145 Al
0.618 0.473 0.500 Al
0.620 0.880 0.500 Al
0.880 0.380 0.261 Al
0.882 0.382 0.855 Al
0.973 0.118 0.500 Al
0.000 0.000 0.000 Si
0.250 0.250 0.000 Si
0.500 0.500 0.000 Si
0.750 0.750 0.000 Si
```

ΔE_f (raw) (meV per atom): -405
SG: No. 140